Arrangement a

Computed, not measured: an optimized crystal structure of K2SrI4 at the PBE-GGA level of DFT.

The space-group type is P4_122 (91). Its size of the total moment is 0.000 μB/f.u.

Cell lengths 10.393, 10.393, 13.942 Å; angles 90.00, 90.00, 90.00 degrees
Fractional positions:
K1 0.500 0.759 0.500
K2 0.256 0.744 0.125
K3 0.500 0.241 0.000
K4 0.759 0.500 0.250
K5 0.744 0.256 0.625
K6 0.256 0.256 0.375
K7 0.744 0.744 0.875
K8 0.241 0.500 0.750
I1 0.457 0.232 0.746
I2 0.543 0.232 0.254
I3 0.768 0.457 0.996
I4 0.543 0.768 0.246
I5 0.980 0.232 0.237
I6 0.020 0.232 0.763
I7 0.768 0.543 0.504
I8 0.980 0.768 0.263
I9 0.768 0.020 0.013
I10 0.457 0.768 0.754
I11 0.232 0.457 0.004
I12 0.768 0.980 0.487
I13 0.020 0.768 0.737
I14 0.232 0.020 0.987
I15 0.232 0.543 0.496
I16 0.232 0.980 0.513
Sr1 0.000 0.758 0.500
Sr2 0.242 0.000 0.750
Sr3 0.000 0.242 0.000
Sr4 0.758 0.000 0.250



Arrangement b

Computed, not measured: an optimized crystal structure of K2SrI4 at the PBE-GGA level of DFT.

The space-group type is C2/m (12). Its size of the total moment is 0.000 μB/f.u.

Cell lengths 4.918, 9.214, 9.576 Å; angles 124.19, 104.88, 90.00 degrees
Fractional positions:
K1 0.297 0.280 0.593
K2 0.703 0.720 0.407
I1 0.106 0.818 0.213
I2 0.638 0.267 0.275
I3 0.894 0.182 0.787
I4 0.362 0.733 0.725
Sr1 0.000 0.000 0.000



Arrangement c

Computed, not measured: an optimized crystal structure of K2SrI4 at the PBE-GGA level of DFT.

The space-group type is I4/mmm (139). Its size of the total moment is 0.000 μB/f.u.

Cell lengths 6.410, 6.410, 10.135 Å; angles 108.43, 108.43, 90.00 degrees
Fractional positions:
I1 0.500 0.000 0.000
I2 0.177 0.177 0.355
I3 0.823 0.823 0.645
I4 0.000 0.500 0.000
K1 0.364 0.364 0.728
K2 0.636 0.636 0.272
Sr1 0.000 0.000 0.000



Decreasing stability: arrangement a, arrangement b, arrangement c



Arrangement a

Computed, not measured: an optimized crystal structure of KTaI3 at the PBE-GGA level of DFT.

The space-group type is Pm-3m (221). Its size of the total moment is 3.000 μB/f.u.

Cell lengths 5.821, 5.821, 5.821 Å; angles 90.00, 90.00, 90.00 degrees
Fractional positions:
Ta1 0.000 0.000 0.000
K1 0.500 0.500 0.500
I1 0.000 0.500 0.000
I2 0.000 0.000 0.500
I3 0.500 0.000 0.000



Arrangement b

Computed, not measured: an optimized crystal structure of KTaI3 at the PBE-GGA level of DFT.

The space-group type is Pm-3m (221). Its size of the total moment is 3.000 μB/f.u.

Cell lengths 6.212, 6.212, 6.212 Å; angles 90.00, 90.00, 90.00 degrees
Fractional positions:
I1 0.000 0.500 0.000
I2 0.500 0.000 0.000
I3 0.000 0.000 0.500
Ta1 0.500 0.500 0.500
K1 0.000 0.000 0.000



Decreasing stability: arrangement a, arrangement b



Arrangement a

Computed, not measured: an optimized crystal structure of K2TcI at the PBE-GGA level of DFT.

The space-group type is I-42d (122). Its size of the total moment is 2.000 μB/f.u.

Cell lengths 12.781, 12.781, 9.386 Å; angles 47.09, 47.09, 90.00 degrees
Fractional positions:
Tc1 0.250 0.750 0.500
Tc2 0.500 0.500 0.000
I1 0.750 0.250 0.500
I2 0.000 0.000 0.000
K1 0.405 0.125 0.250
K2 0.345 0.625 0.250
K3 0.375 0.595 0.750
K4 0.875 0.655 0.750



Arrangement b

Computed, not measured: an optimized crystal structure of K2TcI at the PBE-GGA level of DFT.

The space-group type is Fm-3m (225). Its size of the total moment is 4.000 μB/f.u.

Cell lengths 6.128, 6.128, 6.128 Å; angles 60.00, 60.00, 60.00 degrees
Fractional positions:
K1 0.250 0.250 0.250
K2 0.750 0.750 0.750
I1 0.500 0.500 0.500
Tc1 0.000 0.000 0.000



Decreasing stability: arrangement a, arrangement b



Arrangement a

Computed, not measured: an optimized crystal structure of KTcTeI2 at the PBE-GGA level of DFT.

The space-group type is P4/mmm (123). Its size of the total moment is 4.000 μB/f.u.

Cell lengths 6.058, 6.058, 6.140 Å; angles 90.00, 90.00, 90.00 degrees
Fractional positions:
I1 0.000 0.500 0.000
I2 0.500 0.000 0.000
K1 0.000 0.000 0.000
Tc1 0.500 0.500 0.500
Te1 0.000 0.000 0.500



Arrangement b

Computed, not measured: an optimized crystal structure of KTcTeI2 at the PBE-GGA level of DFT.

The space-group type is P4/mmm (123). Its size of the total moment is 0.949 μB/f.u.

Cell lengths 5.866, 5.866, 5.086 Å; angles 90.00, 90.00, 90.00 degrees
Fractional positions:
I1 0.500 0.000 0.000
I2 0.000 0.500 0.000
Te1 0.000 0.000 0.500
K1 0.500 0.500 0.500
Tc1 0.000 0.000 0.000



Decreasing stability: arrangement b, arrangement a